Record 1
Computed, not measured: crystalline Tl6Hg4Sb at its relaxed geometry at the PBE level of DFT.

Calculated values
- Density of states at the Fermi level: 0.20 states/eV per atom
- Calculated volume: 706 Å³/cell
- Formation energy (no corrections): 21 kJ/mol of formula units
- Size of the total moment: 0.00 μB per formula unit

Structure (CIF):
```
data_Tl6Hg4Sb
_symmetry_space_group_name_H-M 'P 63 m c'
_symmetry_Int_Tables_number 186
_symmetry_space_group_name_Hall 'P 6c -2c'
_cell_length_a 10.6414
_cell_length_b 10.6414
_cell_length_c 7.1942
_cell_angle_alpha 90.00
_cell_angle_beta 90.00
_cell_angle_gamma 120.00
loop_
_atom_site_label
_atom_site_fract_x
_atom_site_fract_y
_atom_site_fract_z
Tl1 0.0480 0.5240 0.0000
Tl2 0.1546 0.3091 0.2882
Hg1 0.1709 0.3419 0.7383
Hg2 0.3333 0.6667 0.2731
Sb1 0.3333 0.6667 0.6869
```

Record 2
Computed, not measured: crystalline KPC2O8 at its relaxed geometry at the PBE level of DFT.

Calculated values
- Density of states at the Fermi level: 0.61 states/eV per atom
- Calculated volume: 264 Å³/cell
- Formation energy (no corrections): -1243 kJ/mol of formula units
- Size of the total moment: 1.11 μB per formula unit

Structure (CIF):
```
data_KPC2O8
_symmetry_space_group_name_H-M 'C 1 2/m 1'
_symmetry_Int_Tables_number 12
_symmetry_space_group_name_Hall '-C 2y'
_cell_length_a 7.269
_cell_length_b 4.656
_cell_length_c 7.837
_cell_angle_alpha 90.00
_cell_angle_beta 95.03
_cell_angle_gamma 90.00
loop_
_atom_site_label
_atom_site_fract_x
_atom_site_fract_y
_atom_site_fract_z
K1 0.000 0.000 0.000
P1 0.000 0.000 0.500
C1 0.133 0.500 0.327
O1 0.012 0.255 0.342
O2 0.183 0.500 0.172
O3 0.233 0.000 0.534
```

Record 3
Computed, not measured: crystalline MgRe2Ag at its relaxed geometry at the PBE level of DFT.

Calculated values
- Formation energy from the elements: 0.28 eV/atom
- Density of states at the Fermi level: 0.65 states/eV per atom
- Calculated volume: 66 Å³/cell
- Size of the total moment: 0.00 μB per formula unit

Structure (CIF):
```
data_MgRe2Ag
_symmetry_space_group_name_H-M 'P 1 m 1'
_symmetry_Int_Tables_number 6
_symmetry_space_group_name_Hall 'P -2y'
_cell_length_a 2.858
_cell_length_b 3.944
_cell_length_c 5.882
_cell_angle_alpha 90.00
_cell_angle_beta 92.93
_cell_angle_gamma 90.00
loop_
_atom_site_label
_atom_site_fract_x
_atom_site_fract_y
_atom_site_fract_z
Mg1 0.000 0.000 0.000
Re1 0.513 0.500 0.295
Re2 0.940 0.000 0.471
Ag1 0.485 0.500 0.778
```

Record 4
Computed, not measured: crystalline PrEuPdRh at its relaxed geometry at the PBE level of DFT.

Calculated values
- Formation energy from the elements: -0.59 eV/atom
- Density of states at the Fermi level: 3.43 states/eV per atom
- Calculated volume: 369 Å³/cell
- Size of the total moment: 6.82 μB per formula unit

Structure (CIF):
```
data_PrEuPdRh
_symmetry_space_group_name_H-M 'F -4 3 m'
_symmetry_Int_Tables_number 216
_symmetry_space_group_name_Hall 'F -4 2 3'
_cell_length_a 7.173
_cell_length_b 7.173
_cell_length_c 7.173
_cell_angle_alpha 90.00
_cell_angle_beta 90.00
_cell_angle_gamma 90.00
loop_
_atom_site_label
_atom_site_fract_x
_atom_site_fract_y
_atom_site_fract_z
Pr1 0.000 0.000 0.000
Eu1 0.000 0.000 0.500
Pd1 0.250 0.250 0.250
Rh1 0.250 0.250 0.750
```

Record 5
Computed, not measured: crystalline V2CBr at its relaxed geometry at the PBE level of DFT.

Calculated values
- Density of states at the Fermi level: 0.87 states/eV per atom
- Calculated volume: 193 Å³/cell
- Formation energy (no corrections): 330 kJ/mol of formula units
- Size of the total moment: 1.09 μB per formula unit

Structure (CIF):
```
data_V2CBr
_symmetry_space_group_name_H-M 'F m -3 m'
_symmetry_Int_Tables_number 225
_symmetry_space_group_name_Hall '-F 4 2 3'
_cell_length_a 5.778
_cell_length_b 5.778
_cell_length_c 5.778
_cell_angle_alpha 90.00
_cell_angle_beta 90.00
_cell_angle_gamma 90.00
loop_
_atom_site_label
_atom_site_fract_x
_atom_site_fract_y
_atom_site_fract_z
V1 0.250 0.250 0.250
C1 0.000 0.000 0.000
Br1 0.000 0.000 0.500
```

Record 6
Computed, not measured: crystalline CrIn2Ir at its relaxed geometry at the PBE level of DFT.

Calculated values
- Formation energy from the elements: 0.20 eV/atom
- Density of states at the Fermi level: 0.58 states/eV per atom
- Calculated volume: 142 Å³/cell
- Energy above the lowest structure with this stoichiometry: 127.1 meV per atom
- Size of the total moment: 3.43 μB per formula unit

Structure (CIF):
```
data_CrIn2Ir
_symmetry_space_group_name_H-M 'C m m m'
_symmetry_Int_Tables_number 65
_symmetry_space_group_name_Hall '-C 2 2'
_cell_length_a 6.051
_cell_length_b 7.369
_cell_length_c 3.180
_cell_angle_alpha 90.00
_cell_angle_beta 90.00
_cell_angle_gamma 90.00
loop_
_atom_site_label
_atom_site_fract_x
_atom_site_fract_y
_atom_site_fract_z
Cr1 0.000 0.000 0.000
In1 0.250 0.250 0.500
Ir1 0.000 0.500 0.000
```

Record 7
Computed, not measured: crystalline ZrTcRh2 at its relaxed geometry at the PBE level of DFT.

Calculated values
- Formation energy from the elements: -0.20 eV/atom
- Density of states at the Fermi level: 1.34 states/eV per atom
- Calculated volume: 65 Å³/cell
- Energy above the lowest structure with this stoichiometry: 206.1 meV per atom
- Size of the total moment: 0.85 μB per formula unit

Structure (CIF):
```
data_ZrTcRh2
_symmetry_space_group_name_H-M 'P 4/m m m'
_symmetry_Int_Tables_number 123
_symmetry_space_group_name_Hall '-P 4 2'
_cell_length_a 3.386
_cell_length_b 3.386
_cell_length_c 5.683
_cell_angle_alpha 90.00
_cell_angle_beta 90.00
_cell_angle_gamma 90.00
loop_
_atom_site_label
_atom_site_fract_x
_atom_site_fract_y
_atom_site_fract_z
Zr1 0.000 0.000 0.000
Tc1 0.000 0.000 0.500
Rh1 0.500 0.500 0.266
```

Record 8
Computed, not measured: crystalline NaHgI2N at its relaxed geometry at the PBE level of DFT.

Calculated values
- Density of states at the Fermi level: 0.29 states/eV per atom
- Calculated volume: 167 Å³/cell
- Energy above the lowest structure with this stoichiometry: 0.0 meV per atom
- Formation energy (no corrections): 162 kJ/mol of formula units
- Size of the total moment: 1.98 μB per formula unit

Structure (CIF):
```
data_NaHgI2N
_symmetry_space_group_name_H-M 'P 4/m m m'
_symmetry_Int_Tables_number 123
_symmetry_space_group_name_Hall '-P 4 2'
_cell_length_a 6.262
_cell_length_b 6.262
_cell_length_c 4.262
_cell_angle_alpha 90.00
_cell_angle_beta 90.00
_cell_angle_gamma 90.00
loop_
_atom_site_label
_atom_site_fract_x
_atom_site_fract_y
_atom_site_fract_z
Na1 0.000 0.000 0.000
Hg1 0.500 0.500 0.500
I1 0.000 0.500 0.500
N1 0.500 0.500 0.000
```

Record 9
Computed, not measured: crystalline La6GaSi2Cl3 at its relaxed geometry at the PBE level of DFT.

Calculated values
- Density of states at the Fermi level: 0.55 states/eV per atom
- Calculated volume: 690 Å³/cell
- Formation energy (no corrections): -1381 kJ/mol of formula units
- Size of the total moment: 0.00 μB per formula unit

Structure (CIF):
```
data_La6GaSi2Cl3
_symmetry_space_group_name_H-M 'C 1 2/m 1'
_symmetry_Int_Tables_number 12
_symmetry_space_group_name_Hall '-C 2y'
_cell_length_a 18.750
_cell_length_b 4.370
_cell_length_c 8.579
_cell_angle_alpha 90.00
_cell_angle_beta 100.79
_cell_angle_gamma 90.00
loop_
_atom_site_label
_atom_site_fract_x
_atom_site_fract_y
_atom_site_fract_z
La1 0.004 0.000 0.250
La2 0.165 0.500 0.094
La3 0.171 0.500 0.575
Ga1 0.000 0.500 0.000
Si1 0.167 0.000 0.334
Cl1 0.000 0.500 0.500
Cl2 0.167 0.000 0.833
```

What did the sixth record say?
Computed, not measured: crystalline CrIn2Ir at its relaxed geometry at the PBE level of DFT.

Calculated values
- Formation energy from the elements: 0.20 eV/atom
- Density of states at the Fermi level: 0.58 states/eV per atom
- Calculated volume: 142 Å³/cell
- Energy above the lowest structure with this stoichiometry: 127.1 meV per atom
- Size of the total moment: 3.43 μB per formula unit

Structure (CIF):
```
data_CrIn2Ir
_symmetry_space_group_name_H-M 'C m m m'
_symmetry_Int_Tables_number 65
_symmetry_space_group_name_Hall '-C 2 2'
_cell_length_a 6.051
_cell_length_b 7.369
_cell_length_c 3.180
_cell_angle_alpha 90.00
_cell_angle_beta 90.00
_cell_angle_gamma 90.00
loop_
_atom_site_label
_atom_site_fract_x
_atom_site_fract_y
_atom_site_fract_z
Cr1 0.000 0.000 0.000
In1 0.250 0.250 0.500
Ir1 0.000 0.500 0.000
```